Here is an optimized crystal structure of CsPaTi2O7 from Alexandria. Energies are from PBE. Values from VASP.

The raw formation energy comes out at -2.913 eV/atom. As for the space-group type: P4/mmm (123). The size of the total moment is 0.00 μB/atom.

The structure in Quantum ESPRESSO input format:
```
&SYSTEM
  ibrav = 0, nat = 11, ntyp = 4
/
ATOMIC_SPECIES
Cs 132.91 Cs.upf
Pa 231.04 Pa.upf
Ti 47.87 Ti.upf
O 16.00 O.upf
CELL_PARAMETERS angstrom
3.7664 0.0000 0.0000
0.0000 3.7664 0.0000
0.0000 0.0000 11.3987
ATOMIC_POSITIONS angstrom
Cs 0.0000 0.0000 0.0000
Pa 0.0000 0.0000 5.6994
Ti 1.8832 1.8832 3.4623
Ti 1.8832 1.8832 7.9365
O 0.0000 1.8832 4.1000
O 0.0000 1.8832 7.2987
O 1.8832 0.0000 4.1000
O 1.8832 0.0000 7.2987
O 1.8832 1.8832 1.7547
O 1.8832 1.8832 5.6994
O 1.8832 1.8832 9.6440
```

***

Here is an optimized crystal structure of KPRu2 from Alexandria. Energies are from PBE. Values from VASP.

Its total energy is -5.1732 eV per atom. The calculation puts the density of states at the Fermi level at 1.4461 states/eV per atom. As for the space-group type: P4/mmm (123). The size of the total moment is 0.00 μB/atom.

The structure in Quantum ESPRESSO input format:
```
&SYSTEM
  ibrav = 0, nat = 4, ntyp = 3
/
ATOMIC_SPECIES
K 39.10 K.upf
P 30.97 P.upf
Ru 101.07 Ru.upf
CELL_PARAMETERS angstrom
4.3782 0.0000 0.0000
0.0000 4.3782 0.0000
0.0000 0.0000 3.2438
ATOMIC_POSITIONS angstrom
K 0.0000 0.0000 0.0000
P 2.1891 2.1891 0.0000
Ru 0.0000 2.1891 1.6219
Ru 2.1891 0.0000 1.6219
```